# 1
YAl2Tc: optimized geometry, PBE.

Structure (CIF):
```
data_YAl2Tc
_chemical_formula_sum 'Y1 Al2 Tc1'
_space_group_name_H-M_alt 'P 1'
_space_group_IT_number 1
_space_group_name_Hall 'P 1'
_cell_length_a 4.7209
_cell_length_b 4.7209
_cell_length_c 5.2079
_cell_angle_alpha 72.78
_cell_angle_beta 72.78
_cell_angle_gamma 44.81
loop_
_atom_site_label
_atom_site_type_symbol
_atom_site_fract_x
_atom_site_fract_y
_atom_site_fract_z
Y1 Y 0.2500 0.2500 0.2500
Tc1 Tc 0.7500 0.7500 0.7500
Al1 Al 0.0254 0.0254 0.9113
Al2 Al 0.4746 0.4746 0.5887
```

formation energy = -0.331 eV/atom
E = -6.41 eV/atom
space-group type = C2/m, No. 12
Fermi-level density of states = 0.97 states/eV/cell
M_tot = 0.00 μB per formula unit
relative energy among the computed polymorphs = 0.010 eV/atom

# 2
DyHo7Tm3: optimized geometry, PBE.

Structure (CIF):
```
data_DyHo7Tm3
_chemical_formula_sum 'Dy1 Ho7 Tm3'
_space_group_name_H-M_alt 'P 1'
_space_group_IT_number 1
_space_group_name_Hall 'P 1'
_cell_length_a 5.4605
_cell_length_b 9.7770
_cell_length_c 8.7927
_cell_angle_alpha 105.65
_cell_angle_beta 128.40
_cell_angle_gamma 89.98
loop_
_atom_site_label
_atom_site_type_symbol
_atom_site_fract_x
_atom_site_fract_y
_atom_site_fract_z
Dy1 Dy 0.5000 0.5000 0.5000
Ho1 Ho 0.9202 0.8312 0.9202
Ho2 Ho 0.8529 0.7089 0.3529
Ho3 Ho 0.6776 0.3583 0.1777
Ho4 Ho 0.3224 0.6417 0.8223
Ho5 Ho 0.5000 0.0000 0.5000
Ho6 Ho 0.1471 0.2911 0.6471
Ho7 Ho 0.0798 0.1688 0.0798
Tm1 Tm 0.2781 0.9981 0.7780
Tm2 Tm 0.0000 0.5000 0.0000
Tm3 Tm 0.7219 0.0019 0.2220
```

formation energy = 0.150 eV/atom
E = -4.40 eV/atom
space-group type = P2/m, No. 10
Fermi-level density of states = 17.63 states/eV/cell
M_tot = 0.00 μB per formula unit
relative energy among the computed polymorphs = 0.000 eV/atom

# 3
Dy3GaSi3: optimized geometry, PBE.

Structure (CIF):
```
data_Dy3GaSi3
_chemical_formula_sum 'Dy3 Ga1 Si3'
_space_group_name_H-M_alt 'P 1'
_space_group_IT_number 1
_space_group_name_Hall 'P 1'
_cell_length_a 3.8984
_cell_length_b 4.2164
_cell_length_c 9.3761
_cell_angle_alpha 102.99
_cell_angle_beta 102.00
_cell_angle_gamma 90.00
loop_
_atom_site_label
_atom_site_type_symbol
_atom_site_fract_x
_atom_site_fract_y
_atom_site_fract_z
Dy1 Dy 0.3136 0.8136 0.6272
Dy2 Dy 0.6840 0.1840 0.3679
Dy3 Dy 0.0040 0.0040 0.0079
Ga1 Ga 0.4331 0.4331 0.8663
Si1 Si 0.1479 0.6479 0.2957
Si2 Si 0.8503 0.3503 0.7006
Si3 Si 0.5671 0.5671 0.1343
```

E = -5.47 eV/atom
space-group type = Imm2, No. 44
Fermi-level density of states = 2.88 states/eV/cell
M_tot = 0.00 μB per formula unit
formation energy from raw total energies = -740 meV/atom

# 4
Ce2ThRh: optimized geometry, PBE.

Structure (CIF):
```
data_Ce2ThRh
_chemical_formula_sum 'Ce8 Th4 Rh4'
_space_group_name_H-M_alt 'P 1'
_space_group_IT_number 1
_space_group_name_Hall 'P 1'
_cell_length_a 6.0223
_cell_length_b 6.9038
_cell_length_c 10.0249
_cell_angle_alpha 90.00
_cell_angle_beta 90.00
_cell_angle_gamma 90.00
loop_
_atom_site_label
_atom_site_type_symbol
_atom_site_fract_x
_atom_site_fract_y
_atom_site_fract_z
Ce1 Ce 0.1342 0.6755 0.0519
Ce2 Ce 0.3658 0.1755 0.4481
Ce3 Ce 0.8658 0.3245 0.5519
Ce4 Ce 0.6342 0.8245 0.9481
Ce5 Ce 0.8658 0.3245 0.9481
Ce6 Ce 0.6342 0.8245 0.5519
Ce7 Ce 0.1342 0.6755 0.4481
Ce8 Ce 0.3658 0.1755 0.0519
Th1 Th 0.6443 0.5419 0.2500
Th2 Th 0.8557 0.0419 0.2500
Th3 Th 0.3557 0.4581 0.7500
Th4 Th 0.1443 0.9581 0.7500
Rh1 Rh 0.1201 0.3870 0.2500
Rh2 Rh 0.3799 0.8870 0.2500
Rh3 Rh 0.8799 0.6130 0.7500
Rh4 Rh 0.6201 0.1130 0.7500
```

formation energy = -0.401 eV/atom
E = -7.06 eV/atom
space-group type = Pnma, No. 62
Fermi-level density of states = 35.11 states/eV/cell
M_tot = 0.00 μB per formula unit
relative energy among the computed polymorphs = 0.000 eV/atom

# 5
Li2MoRh: optimized geometry, PBE.

Structure (CIF):
```
data_Li2MoRh
_chemical_formula_sum 'Li2 Mo1 Rh1'
_space_group_name_H-M_alt 'P 1'
_space_group_IT_number 1
_space_group_name_Hall 'P 1'
_cell_length_a 2.7728
_cell_length_b 4.4572
_cell_length_c 4.7288
_cell_angle_alpha 90.00
_cell_angle_beta 90.00
_cell_angle_gamma 90.00
loop_
_atom_site_label
_atom_site_type_symbol
_atom_site_fract_x
_atom_site_fract_y
_atom_site_fract_z
Li1 Li 0.0000 0.0000 0.0000
Li2 Li 0.5000 0.5000 0.0000
Mo1 Mo 0.5000 0.0000 0.5000
Rh1 Rh 0.0000 0.5000 0.5000
```

formation energy = 0.135 eV/atom
E = -5.37 eV/atom
space-group type = Pmmm, No. 47
Fermi-level density of states = 3.41 states/eV/cell
M_tot = 0.00 μB per formula unit
relative energy among the computed polymorphs = 0.095 eV/atom

# 6
Ac3SnBi: optimized geometry, PBE.

Structure (CIF):
```
data_Ac3SnBi
_chemical_formula_sum 'Ac6 Sn2 Bi2'
_space_group_name_H-M_alt 'P 1'
_space_group_IT_number 1
_space_group_name_Hall 'P 1'
_cell_length_a 7.8381
_cell_length_b 7.8381
_cell_length_c 9.4243
_cell_angle_alpha 65.43
_cell_angle_beta 65.43
_cell_angle_gamma 60.00
loop_
_atom_site_label
_atom_site_type_symbol
_atom_site_fract_x
_atom_site_fract_y
_atom_site_fract_z
Ac1 Ac 0.4002 0.9093 0.2894
Ac2 Ac 0.9093 0.4011 0.2894
Ac3 Ac 0.4011 0.4002 0.2894
Ac4 Ac 0.5998 0.5989 0.7106
Ac5 Ac 0.0907 0.5998 0.7106
Ac6 Ac 0.5989 0.0907 0.7106
Sn1 Sn 0.3340 0.3340 0.9980
Sn2 Sn 0.6660 0.6660 0.0020
Bi1 Bi 0.1193 0.1193 0.6422
Bi2 Bi 0.8807 0.8807 0.3578
```

formation energy = -0.382 eV/atom
E = -4.42 eV/atom
space-group type = R-3m, No. 166
Fermi-level density of states = 9.17 states/eV/cell
M_tot = 0.00 μB per formula unit
relative energy among the computed polymorphs = 0.000 eV/atom

# 7
ScV2Tc2: optimized geometry, PBE.

Structure (CIF):
```
data_ScV2Tc2
_chemical_formula_sum 'Sc2 V4 Tc4'
_space_group_name_H-M_alt 'P 1'
_space_group_IT_number 1
_space_group_name_Hall 'P 1'
_cell_length_a 7.3897
_cell_length_b 7.3897
_cell_length_c 2.8759
_cell_angle_alpha 90.00
_cell_angle_beta 90.00
_cell_angle_gamma 90.00
loop_
_atom_site_label
_atom_site_type_symbol
_atom_site_fract_x
_atom_site_fract_y
_atom_site_fract_z
Sc1 Sc 0.0000 0.0000 0.0000
Sc2 Sc 0.5000 0.5000 0.0000
Tc1 Tc 0.1548 0.6548 0.5000
Tc2 Tc 0.6548 0.8452 0.5000
Tc3 Tc 0.8452 0.3452 0.5000
Tc4 Tc 0.3452 0.1548 0.5000
V1 V 0.3580 0.8580 0.0000
V2 V 0.8580 0.6420 0.0000
V3 V 0.6420 0.1420 0.0000
V4 V 0.1420 0.3580 0.0000
```

formation energy = 0.016 eV/atom
E = -9.04 eV/atom
space-group type = P4/mbm, No. 127
Fermi-level density of states = 13.53 states/eV/cell
M_tot = 0.00 μB per formula unit
relative energy among the computed polymorphs = 0.000 eV/atom

# 8
NaErSeO4: optimized geometry, PBE.

Structure (CIF):
```
data_NaErSeO4
_chemical_formula_sum 'Na2 Er2 Se2 O8'
_space_group_name_H-M_alt 'P 1'
_space_group_IT_number 1
_space_group_name_Hall 'P 1'
_cell_length_a 7.0506
_cell_length_b 6.4983
_cell_length_c 6.4983
_cell_angle_alpha 61.35
_cell_angle_beta 57.15
_cell_angle_gamma 57.15
loop_
_atom_site_label
_atom_site_type_symbol
_atom_site_fract_x
_atom_site_fract_y
_atom_site_fract_z
Na1 Na 0.5000 0.0000 0.5000
Na2 Na 0.0000 0.0000 0.5000
Er1 Er 0.0000 0.0000 0.0000
Er2 Er 0.0000 0.5000 0.5000
Se1 Se 0.6041 0.6459 0.1459
Se2 Se 0.3959 0.3541 0.8541
O1 O 0.7263 0.7313 0.8162
O2 O 0.2737 0.6838 0.7687
O3 O 0.7263 0.3162 0.2313
O4 O 0.2737 0.2687 0.1838
O5 O 0.2099 0.7469 0.2469
O6 O 0.7962 0.7469 0.2469
O7 O 0.2038 0.2531 0.7531
O8 O 0.7901 0.2531 0.7531
```

E = -6.04 eV/atom
space-group type = Imma, No. 74
Fermi-level density of states = 0.00 states/eV/cell
M_tot = 0.00 μB per formula unit
formation energy from raw total energies = -1867 meV/atom

> Which formula does entry 7 have?

ScV2Tc2

> Which value of M_tot does entry 4 give?

0.00 μB per formula unit